A plane-wave DFT calculation with PBE was carried out for crystalline Y3Cu at its relaxed geometry.

abc: 5.980 5.980 5.980
angles: 90.00 90.00 90.00
Space group Pm-3n (No. 223)
One atom of each set of equivalent atoms:
Y 0.000 0.250 0.500 [6 per cell]
Cu 0.000 0.000 0.000 [2 per cell]

Computed properties:
* total magnetic moment: 0.00 μB per cell
* electronic total energy: -5.71 eV per atom